[1]
Here is crystalline ScSi2Rh at its relaxed geometry from Alexandria via LeMat-Bulk. Energies are from GGA-PBEsol.

```
data_ScSi2Rh
_chemical_formula_sum 'Sc2 Si4 Rh2'
_cell_length_a 3.664
_cell_length_b 3.660
_cell_length_c 9.007
_cell_angle_alpha 90.00
_cell_angle_beta 90.00
_cell_angle_gamma 90.00
_symmetry_space_group_name_H-M 'A m m 2'
_symmetry_Int_Tables_number 38
_symmetry_space_group_name_Hall 'A 2 -2'
loop_
_atom_site_label
_atom_site_type_symbol
_atom_site_fract_x
_atom_site_fract_y
_atom_site_fract_z
Sc1 Sc 0.000 0.000 0.000
Si1 Si 0.000 0.000 0.722
Si2 Si 0.500 0.000 0.553
Rh1 Rh 0.500 0.000 0.272
```

---

[2]
Here is crystalline TaCoTe2 at its relaxed geometry from Alexandria via LeMat-Bulk. Energies are from GGA-PBEsol.

```
data_TaCoTe2
_chemical_formula_sum 'Ta1 Co1 Te2'
_cell_length_a 3.9597
_cell_length_b 3.9597
_cell_length_c 6.7912
_cell_angle_alpha 90.00
_cell_angle_beta 90.00
_cell_angle_gamma 120.00
_symmetry_space_group_name_H-M 'P 3 m 1'
_symmetry_Int_Tables_number 156
_symmetry_space_group_name_Hall 'P 3 -2"'
loop_
_atom_site_label
_atom_site_type_symbol
_atom_site_fract_x
_atom_site_fract_y
_atom_site_fract_z
Ta1 Ta 0.0000 0.0000 0.0000
Co1 Co 0.6667 0.3333 0.1238
Te1 Te 0.3333 0.6667 0.2943
Te2 Te 0.6667 0.3333 0.7523
```

---

[3]
Here is crystalline Sr4TaIn at its relaxed geometry from Alexandria via LeMat-Bulk. Energies are from GGA-PBEsol.

```
data_Sr4TaIn
_chemical_formula_sum 'Sr16 Ta4 In4'
_cell_length_a 9.369
_cell_length_b 9.369
_cell_length_c 9.369
_cell_angle_alpha 90.00
_cell_angle_beta 90.00
_cell_angle_gamma 90.00
_symmetry_space_group_name_H-M 'F -4 3 m'
_symmetry_Int_Tables_number 216
_symmetry_space_group_name_Hall 'F -4 2 3'
loop_
_atom_site_label
_atom_site_type_symbol
_atom_site_fract_x
_atom_site_fract_y
_atom_site_fract_z
Sr1 Sr 0.125 0.125 0.125
Ta1 Ta 0.000 0.000 0.500
In1 In 0.250 0.250 0.750
```

## Properties
**Formation energy from the elements**: 0.99 eV/atom

---

[4]
Here is crystalline Mg3HRh at its relaxed geometry from Alexandria via LeMat-Bulk. Energies are from GGA-PBEsol.

```
data_Mg3HRh
_chemical_formula_sum 'Mg3 H1 Rh1'
_cell_length_a 4.893
_cell_length_b 4.893
_cell_length_c 4.893
_cell_angle_alpha 90.00
_cell_angle_beta 90.00
_cell_angle_gamma 90.00
_symmetry_space_group_name_H-M 'P m -3 m'
_symmetry_Int_Tables_number 221
_symmetry_space_group_name_Hall '-P 4 2 3'
loop_
_atom_site_label
_atom_site_type_symbol
_atom_site_fract_x
_atom_site_fract_y
_atom_site_fract_z
Mg1 Mg 0.000 0.000 0.500
H1 H 0.500 0.500 0.500
Rh1 Rh 0.000 0.000 0.000
```

## Properties
**Offset from the most stable computed form**: 676.9 meV/atom

---

no.,total energy (eV per atom)
1,-7.255
2,-7.233
3,-2.824
4,-2.840